Compound: Li3AsH
Source: the Alexandria database
Functional: PBEsol
Structure: optimized geometry

Structure (CIF):
```
data_Li3AsH
_chemical_formula_sum 'Li3 As1 H1'
_cell_length_a 3.8964
_cell_length_b 3.8964
_cell_length_c 3.8964
_cell_angle_alpha 90.00
_cell_angle_beta 90.00
_cell_angle_gamma 90.00
_space_group_name_H-M_alt 'P 1'
_space_group_IT_number 1
loop_
_space_group_symop_operation_xyz
'x,y,z'
loop_
_atom_site_label
_atom_site_type_symbol
_atom_site_fract_x
_atom_site_fract_y
_atom_site_fract_z
Li1 Li 0.0000 0.0000 0.5000
Li2 Li 0.0000 0.5000 0.0000
Li3 Li 0.5000 0.0000 0.0000
As1 As 0.5000 0.5000 0.5000
H1 H 0.0000 0.0000 0.0000
```


Compound: AuCl2
Source: the Alexandria database
Functional: PBEsol
Structure: optimized geometry

Structure (CIF):
```
data_AuCl2
_chemical_formula_sum 'Au2 Cl4'
_cell_length_a 5.5285
_cell_length_b 5.5285
_cell_length_c 5.5285
_cell_angle_alpha 60.00
_cell_angle_beta 60.00
_cell_angle_gamma 60.00
_space_group_name_H-M_alt 'P 1'
_space_group_IT_number 1
loop_
_space_group_symop_operation_xyz
'x,y,z'
loop_
_atom_site_label
_atom_site_type_symbol
_atom_site_fract_x
_atom_site_fract_y
_atom_site_fract_z
Au1 Au 0.1250 0.1250 0.1250
Au2 Au 0.8750 0.8750 0.8750
Cl1 Cl 0.0000 0.5000 0.5000
Cl2 Cl 0.5000 0.0000 0.5000
Cl3 Cl 0.5000 0.5000 0.0000
Cl4 Cl 0.5000 0.5000 0.5000
```


no.,DOS(E_F) (states/eV/cell),total DFT energy (no corrections) (eV/atom)
1,1.9,-3.35
2,3.7,-1.70